1.
Material: B5C7
Method: DFT, PBE-GGA
State: optimized geometry

Its polymorph energy (0 for the lowest one) is 3.42 kcal/mol of atoms. As for the calculated formation energy: 39.2 kJ per mole of atoms.

It has space group Cm (No. 8), with a = 12.638 Å, b = 2.582 Å, c = 4.979 Å, α = 90.00°, β = 102.52° and γ = 90.00°. The asymmetric unit holds B at (0.000, 0.000, 0.000), B at (0.029, 0.000, 0.429), B at (0.102, 0.500, 0.042), B at (0.189, 0.500, 0.799), B at (0.409, 0.500, 0.689), C at (0.102, 0.500, 0.501), C at (0.193, 0.500, 0.320), C at (0.263, 0.000, 0.357), C at (0.270, 0.000, 0.861), C at (0.337, 0.000, 0.642), C at (0.341, 0.000, 0.155) and C at (0.412, 0.500, 0.206).

2.
Material: Li2TlTe
Method: DFT, PBE-GGA
State: optimized geometry

Its polymorph energy (0 for the lowest one) is 1.66 kcal/mol of atoms. The uncorrected formation energy comes out at -0.4805 eV per atom.

It has space group P2/m (No. 10), with a = 3.752 Å, b = 3.732 Å, c = 6.812 Å, α = 90.00°, β = 90.09° and γ = 90.00°. The asymmetric unit holds Li at (0.000, 0.000, 0.203), Tl at (0.500, 0.500, 0.500) and Te at (0.500, 0.500, 0.000).

3.
Material: Mn2PtBr
Method: DFT, PBE-GGA
State: optimized geometry

Its polymorph energy (0 for the lowest one) is 3.57 kcal/mol of atoms. The uncorrected formation energy comes out at 0.0498 eV per atom.

It has space group Imm2 (No. 44), with a = 3.166 Å, b = 3.788 Å, c = 13.351 Å, α = 90.00°, β = 90.00° and γ = 90.00°. The asymmetric unit holds Mn at (0.000, 0.000, 0.000), Mn at (0.000, 0.500, 0.300), Pt at (0.000, 0.500, 0.867) and Br at (0.000, 0.000, 0.623).

4.
Material: LiSc2InF
Method: DFT, PBE-GGA
State: optimized geometry

The uncorrected formation energy comes out at -1.1704 eV per atom.

It has space group P4/mmm (No. 123), with a = 4.618 Å, b = 4.618 Å, c = 4.097 Å, α = 90.00°, β = 90.00° and γ = 90.00°. The asymmetric unit holds Li at (0.000, 0.000, 0.000), Sc at (0.000, 0.500, 0.500), In at (0.500, 0.500, 0.000) and F at (0.000, 0.000, 0.500).

5.
Material: MnCuI2N
Method: DFT, PBE-GGA
State: optimized geometry

Its polymorph energy (0 for the lowest one) is 0.00 kcal/mol of atoms. The uncorrected formation energy comes out at 0.4544 eV per atom.

It has space group P4/mmm (No. 123), with a = 5.481 Å, b = 5.481 Å, c = 3.564 Å, α = 90.00°, β = 90.00° and γ = 90.00°. The asymmetric unit holds Mn at (0.000, 0.000, 0.000), Cu at (0.500, 0.500, 0.500), I at (0.000, 0.500, 0.000) and N at (0.000, 0.000, 0.500).

6.
Material: TlZn12Ga7
Method: DFT, PBE-GGA
State: optimized geometry

As for the calculated formation energy: 9.1 kJ per mole of atoms.

It has space group R-3m (No. 166, hexagonal axes), with a = 13.9507 Å, b = 13.9507 Å, c = 6.4598 Å, α = 90.00°, β = 90.00° and γ = 120.00°. The asymmetric unit holds Tl at (0.0000, 0.0000, 0.0000), Zn at (0.0000, 0.2667, 0.0000), Zn at (0.1072, 0.5536, 0.9437), Ga at (0.0000, 0.0000, 0.5000) and Ga at (0.1030, 0.5515, 0.3529).

7.
Material: ZrIrBr2
Method: DFT, PBE-GGA
State: optimized geometry

Its polymorph energy (0 for the lowest one) is 16.53 kcal/mol of atoms. The uncorrected formation energy comes out at 0.1779 eV per atom.

It has space group Pmmm (No. 47), with a = 3.168 Å, b = 4.551 Å, c = 5.560 Å, α = 90.00°, β = 90.00° and γ = 90.00°. The asymmetric unit holds Zr at (0.000, 0.000, 0.000), Ir at (0.500, 0.000, 0.500), Br at (0.000, 0.500, 0.500) and Br at (0.500, 0.500, 0.000).

8.
Material: ZrTi2AlTe
Method: DFT, PBE-GGA
State: optimized geometry

The uncorrected formation energy comes out at 0.9124 eV per atom.

It has space group P4/mmm (No. 123), with a = 4.892 Å, b = 4.892 Å, c = 5.241 Å, α = 90.00°, β = 90.00° and γ = 90.00°. The asymmetric unit holds Zr at (0.000, 0.000, 0.000), Ti at (0.000, 0.500, 0.000), Al at (0.000, 0.000, 0.500) and Te at (0.500, 0.500, 0.500).

9.
Material: CaMo3C
Method: DFT, PBE-GGA
State: optimized geometry

Its polymorph energy (0 for the lowest one) is 80.02 kcal/mol of atoms. As for the calculated formation energy: 378.7 kJ per mole of atoms.

It has space group Pm-3m (No. 221), with a = 4.589 Å, b = 4.589 Å, c = 4.589 Å, α = 90.00°, β = 90.00° and γ = 90.00°. The asymmetric unit holds Ca at (0.000, 0.000, 0.000), Mo at (0.000, 0.000, 0.500) and C at (0.500, 0.500, 0.500).

10.
Material: La6ScHg5
Method: DFT, PBE-GGA
State: optimized geometry

As for the calculated formation energy: -36.7 kJ per mole of atoms.

It has space group P2/m (No. 10), with a = 5.473 Å, b = 7.887 Å, c = 8.780 Å, α = 90.00°, β = 108.14° and γ = 90.00°. The asymmetric unit holds La at (0.000, 0.235, 0.000), La at (0.330, 0.254, 0.659), Sc at (0.500, 0.500, 0.000), Hg at (0.150, 0.500, 0.301), Hg at (0.165, 0.000, 0.333) and Hg at (0.500, 0.000, 0.000).

11.
Material: CoRe3
Method: DFT, PBE-GGA
State: optimized geometry

As for the calculated formation energy: 7.4 kJ per mole of atoms.

It has space group P2/m (No. 10), with a = 2.713 Å, b = 3.822 Å, c = 5.393 Å, α = 90.00°, β = 90.37° and γ = 90.00°. The asymmetric unit holds Co at (0.000, 0.000, 0.000), Re at (0.000, 0.000, 0.500) and Re at (0.498, 0.500, 0.764).

12.
Material: OF2
Method: DFT, PBE-GGA
State: optimized geometry

Its polymorph energy (0 for the lowest one) is 0.09 kcal/mol of atoms. The uncorrected formation energy comes out at 0.0198 eV per atom.

It has space group Cmc2_1 (No. 36), with a = 5.624 Å, b = 6.157 Å, c = 5.203 Å, α = 90.00°, β = 90.00° and γ = 90.00°. The asymmetric unit holds O at (0.000, 0.245, 0.000) and F at (0.201, 0.120, 0.919).

13.
Material: AcDy9Tm2
Method: DFT, PBE-GGA
State: optimized geometry

As for the calculated formation energy: 3.8 kJ per mole of atoms.

It has space group P4/mmm (No. 123), with a = 5.043 Å, b = 5.043 Å, c = 15.171 Å, α = 90.00°, β = 90.00° and γ = 90.00°. The asymmetric unit holds Ac at (0.000, 0.000, 0.000), Dy at (0.000, 0.500, 0.175), Dy at (0.000, 0.500, 0.500), Dy at (0.500, 0.500, 0.000), Dy at (0.500, 0.500, 0.338) and Tm at (0.000, 0.000, 0.337).

14.
Material: MnTeN2Cl
Method: DFT, PBE-GGA
State: optimized geometry

Its polymorph energy (0 for the lowest one) is 33.35 kcal/mol of atoms. The uncorrected formation energy comes out at 2.1424 eV per atom.

It has space group P4/mmm (No. 123), with a = 4.103 Å, b = 4.103 Å, c = 5.440 Å, α = 90.00°, β = 90.00° and γ = 90.00°. The asymmetric unit holds Mn at (0.000, 0.000, 0.000), Te at (0.500, 0.500, 0.000), N at (0.000, 0.500, 0.500) and Cl at (0.500, 0.500, 0.500).

15.
Material: YSc2Hg
Method: DFT, PBE-GGA
State: optimized geometry

As for the calculated formation energy: -22.3 kJ per mole of atoms.

It has space group Immm (No. 71), with a = 3.615 Å, b = 5.128 Å, c = 10.908 Å, α = 90.00°, β = 90.00° and γ = 90.00°. The asymmetric unit holds Y at (0.000, 0.000, 0.000), Sc at (0.000, 0.500, 0.223) and Hg at (0.000, 0.000, 0.500).

16.
Material: MgTlFe2I8
Method: DFT, PBE-GGA
State: optimized geometry

The uncorrected formation energy comes out at -0.4205 eV per atom.

It has space group C2/m (No. 12), with a = 12.049 Å, b = 8.316 Å, c = 10.119 Å, α = 90.00°, β = 93.33° and γ = 90.00°. The asymmetric unit holds Mg at (0.000, 0.000, 0.000), Tl at (0.000, 0.000, 0.500), Fe at (0.128, 0.500, 0.780), I at (0.006, 0.249, 0.212), I at (0.212, 0.500, 0.556) and I at (0.243, 0.000, 0.007).

17.
Material: Cu2AgSe
Method: DFT, PBE-GGA
State: optimized geometry

The uncorrected formation energy comes out at 0.2588 eV per atom.

It has space group F-43m (No. 216), with a = 6.370 Å, b = 6.370 Å, c = 6.370 Å, α = 90.00°, β = 90.00° and γ = 90.00°. The asymmetric unit holds Cu at (0.000, 0.000, 0.000), Cu at (0.250, 0.250, 0.250), Ag at (0.000, 0.000, 0.500) and Se at (0.250, 0.250, 0.750).

18.
Material: Ca2GaPtI
Method: DFT, PBE-GGA
State: optimized geometry

The uncorrected formation energy comes out at 0.1060 eV per atom.

It has space group P4/mmm (No. 123), with a = 5.790 Å, b = 5.790 Å, c = 5.063 Å, α = 90.00°, β = 90.00° and γ = 90.00°. The asymmetric unit holds Ca at (0.000, 0.500, 0.000), Ga at (0.000, 0.000, 0.500), Pt at (0.500, 0.500, 0.500) and I at (0.500, 0.500, 0.000).

19.
Material: SrCa2PdO
Method: DFT, PBE-GGA
State: optimized geometry

The uncorrected formation energy comes out at -1.3426 eV per atom.

It has space group P4/mmm (No. 123), with a = 4.741 Å, b = 4.741 Å, c = 5.155 Å, α = 90.00°, β = 90.00° and γ = 90.00°. The asymmetric unit holds Sr at (0.000, 0.000, 0.000), Ca at (0.000, 0.500, 0.500), Pd at (0.500, 0.500, 0.000) and O at (0.000, 0.000, 0.500).

20.
Material: NdYCuGe
Method: DFT, PBE-GGA
State: optimized geometry

As for the calculated formation energy: -46.4 kJ per mole of atoms.

It has space group F-43m (No. 216), with a = 7.168 Å, b = 7.168 Å, c = 7.168 Å, α = 90.00°, β = 90.00° and γ = 90.00°. The asymmetric unit holds Nd at (0.000, 0.000, 0.000), Y at (0.000, 0.000, 0.500), Cu at (0.250, 0.250, 0.750) and Ge at (0.250, 0.250, 0.250).

| no. | raw total energy (eV for the cell shown) |
| --- | --- |
| 1 | -186.15 |
| 2 | -11.26 |
| 3 | -51.71 |
| 4 | -25.04 |
| 5 | -22.42 |
| 6 | -110.85 |
| 7 | -20.04 |
| 8 | -26.66 |
| 9 | -24.10 |
| 10 | -41.97 |
| 11 | -44.14 |
| 12 | -34.57 |
| 13 | -54.00 |
| 14 | -20.10 |
| 15 | -40.71 |
| 16 | -76.67 |
| 17 | -53.97 |
| 18 | -14.09 |
| 19 | -22.55 |
| 20 | -87.47 |